[1]
Density functional theory data (GGA+U) for a geometry-optimized LiCoRh2O structure.

**DOS(E_F)**: 4.45 states/eV/f.u.
**E**: -4.0598 eV/atom

a = 4.4608 Å, b = 4.4608 Å, c = 4.3810 Å
α = 90.00°, β = 90.00°, γ = 90.00°
Site moments in Bohr magnetons follow the coordinates.
Fractional positions:
Li: 0.0000 0.0000 0.5000  -0.03
Rh: 0.0000 0.5000 0.0000  1.09
Rh: 0.5000 0.0000 0.0000  1.09
O: 0.5000 0.5000 0.5000  0.70
Co: 0.0000 0.0000 0.0000  2.02

=====

[2]
Density functional theory data (GGA+U) for a geometry-optimized MgNi2O4 structure.

**DOS(E_F)**: 1.52 states/eV/f.u.
**E**: -5.0404 eV/atom
**Relative energy among the computed polymorphs**: 69 meV/atom

a = 4.9326 Å, b = 5.7673 Å, c = 10.1055 Å
α = 90.00°, β = 90.00°, γ = 90.00°
Site moments in Bohr magnetons follow the coordinates.
Fractional positions:
O: 0.8193 0.2499 0.8631  -0.03
O: 0.1807 0.7499 0.6369  -0.03
O: 0.1807 0.7499 0.3631  -0.03
O: 0.3557 0.5000 0.8503  -0.16
O: 0.6443 0.0000 0.6497  -0.16
O: 0.8193 0.7501 0.1369  -0.03
O: 0.6443 0.0000 0.3503  -0.16
O: 0.8193 0.2499 0.1369  -0.03
O: 0.2866 0.0000 0.8518  -0.12
O: 0.7134 0.5000 0.6482  -0.12
O: 0.3557 0.5000 0.1497  -0.16
O: 0.1807 0.2501 0.3631  -0.03
O: 0.7134 0.5000 0.3518  -0.12
O: 0.1807 0.2501 0.6369  -0.03
O: 0.2866 0.0000 0.1482  -0.12
O: 0.8193 0.7501 0.8631  -0.03
Mg: 0.6547 0.5000 0.0000  0.01
Mg: 0.0094 0.5000 0.5000  0.01
Mg: 0.9906 0.0000 0.0000  0.01
Mg: 0.3453 0.0000 0.5000  0.01
Ni: 0.5000 0.7500 0.7500  1.10
Ni: 0.5000 0.2500 0.2500  1.10
Ni: 0.0117 0.5000 0.2389  1.28
Ni: 0.0117 0.5000 0.7611  1.28
Ni: 0.9883 0.0000 0.7389  1.28
Ni: 0.5000 0.2500 0.7500  1.10
Ni: 0.5000 0.7500 0.2500  1.10
Ni: 0.9883 0.0000 0.2611  1.28